[1]
Density functional theory data (PBE) for a relaxed structure of K3Zr3TiSe8.

Output
E_form (uncorrected): -20.014 eV per formula unit
total magnetic moment: 1.06 μB per formula unit
space group: R-3m (166)

abc: 9.120 9.120 9.120
angles: 49.72 49.72 49.72
Positions (direct):
K: 0.000 0.500 0.500
K: 0.500 0.000 0.500
K: 0.500 0.500 0.000
Zr: 0.000 0.000 0.500
Zr: 0.000 0.500 0.000
Zr: 0.500 0.000 0.000
Ti: 0.500 0.500 0.500
Se: 0.235 0.235 0.235
Se: 0.239 0.729 0.729
Se: 0.271 0.271 0.761
Se: 0.271 0.761 0.271
Se: 0.729 0.239 0.729
Se: 0.729 0.729 0.239
Se: 0.761 0.271 0.271
Se: 0.765 0.765 0.765



[2]
Density functional theory data (PBE) for a relaxed structure of K3ZrTi2Se6.

Output
E_form (uncorrected): -14.880 eV per formula unit
total magnetic moment: 2.84 μB per formula unit
space group: C2/m (12)

abc: 6.736 6.736 7.990
angles: 98.05 98.05 119.92
Positions (direct):
K: 0.000 0.000 0.000
K: 0.333 0.667 0.000
K: 0.667 0.333 0.000
Zr: 0.500 0.500 0.500
Ti: 0.157 0.843 0.500
Ti: 0.843 0.157 0.500
Se: 0.095 0.437 0.308
Se: 0.228 0.228 0.700
Se: 0.437 0.095 0.308
Se: 0.563 0.905 0.692
Se: 0.772 0.772 0.300
Se: 0.905 0.563 0.692